# 1
First-principles (PBE) data for a relaxed structure of Fe2Ag, as listed in the Alexandria database.

a = 4.950 Å, b = 4.950 Å, c = 4.950 Å
α = 105.51°, β = 105.51°, γ = 117.72°
Element x y z (fractional)
Fe 0.133 0.633 0.766
Fe 0.367 0.133 0.500
Fe 0.633 0.867 0.500
Fe 0.867 0.367 0.234
Ag 0.250 0.250 0.000
Ag 0.750 0.750 0.000

- Formation energy: 0.71 eV per atom
- Size of the total moment: 5.58 μB per formula unit
- Space-group type: I4/mcm, No. 140
- VASP energy: -5.885 eV/atom

=====

# 2
First-principles (PBE) data for a relaxed structure of Fe5Ag4, as listed in the Alexandria database.

a = 6.725 Å, b = 6.725 Å, c = 6.725 Å
α = 93.06°, β = 93.06°, γ = 153.29°
Element x y z (fractional)
Fe 0.000 0.000 0.000
Fe 0.335 0.335 0.669
Fe 0.335 0.665 0.000
Fe 0.665 0.335 0.000
Fe 0.665 0.665 0.331
Ag 0.000 0.324 0.324
Ag 0.000 0.676 0.676
Ag 0.324 0.000 0.324
Ag 0.676 0.000 0.676

- Formation energy: 0.39 eV per atom
- Size of the total moment: 14.28 μB per formula unit
- Space-group type: I4/mmm, No. 139
- VASP energy: -5.576 eV/atom

=====

# 3
First-principles (PBE) data for a relaxed structure of Fe2Ag, as listed in the Alexandria database.

a = 4.358 Å, b = 4.358 Å, c = 5.177 Å
α = 90.00°, β = 90.00°, γ = 120.00°
Element x y z (fractional)
Fe 0.000 0.000 0.000
Fe 0.000 0.000 0.500
Fe 0.333 0.667 0.250
Fe 0.667 0.333 0.750
Ag 0.333 0.667 0.750
Ag 0.667 0.333 0.250

- Formation energy: 0.51 eV per atom
- Size of the total moment: 5.38 μB per formula unit
- Space-group type: P6_3/mmc, No. 194
- VASP energy: -6.081 eV/atom

=====

# 4
First-principles (PBE) data for a relaxed structure of FeAg3, as listed in the Alexandria database.

a = 4.931 Å, b = 4.931 Å, c = 5.046 Å
α = 99.09°, β = 99.09°, γ = 33.29°
Element x y z (fractional)
Fe 0.000 0.000 0.000
Ag 0.255 0.255 0.758
Ag 0.500 0.500 0.500
Ag 0.745 0.745 0.242

- Formation energy: 0.31 eV per atom
- Size of the total moment: 3.06 μB per formula unit
- Space-group type: C2/m, No. 12
- VASP energy: -3.947 eV/atom

=====

# 5
First-principles (PBE) data for a relaxed structure of FeAg3, as listed in the Alexandria database.

a = 4.859 Å, b = 4.859 Å, c = 2.848 Å
α = 90.00°, β = 90.00°, γ = 90.00°
Element x y z (fractional)
Fe 0.000 0.000 0.000
Ag 0.000 0.500 0.500
Ag 0.500 0.000 0.500
Ag 0.500 0.500 0.000

- Formation energy: 0.35 eV per atom
- Size of the total moment: 2.97 μB per formula unit
- Space-group type: P4/mmm, No. 123
- VASP energy: -3.908 eV/atom

=====

# 6
First-principles (PBE) data for a relaxed structure of Fe2Ag, as listed in the Alexandria database.

a = 3.332 Å, b = 3.332 Å, c = 4.390 Å
α = 90.00°, β = 90.00°, γ = 90.00°
Element x y z (fractional)
Fe 0.000 0.500 0.000
Fe 0.500 0.000 0.000
Ag 0.000 0.000 0.500

- Formation energy: 0.71 eV per atom
- Size of the total moment: 5.41 μB per formula unit
- Space-group type: P4/mmm, No. 123
- VASP energy: -5.878 eV/atom

=====

# 7
First-principles (PBE) data for a relaxed structure of FeAg, as listed in the Alexandria database.

a = 4.412 Å, b = 4.412 Å, c = 5.173 Å
α = 90.00°, β = 90.00°, γ = 120.00°
Element x y z (fractional)
Fe 0.333 0.667 0.250
Fe 0.667 0.333 0.750
Ag 0.333 0.667 0.750
Ag 0.667 0.333 0.250

- Formation energy: 1.26 eV per atom
- Size of the total moment: 3.23 μB per formula unit
- Space-group type: P6_3/mmc, No. 194
- VASP energy: -4.400 eV/atom

=====

# 8
First-principles (PBE) data for a relaxed structure of FeAg, as listed in the Alexandria database.

a = 2.668 Å, b = 2.668 Å, c = 4.563 Å
α = 90.00°, β = 90.00°, γ = 110.85°
Element x y z (fractional)
Fe 0.000 0.000 0.000
Ag 0.500 0.500 0.500

- Formation energy: 0.45 eV per atom
- Size of the total moment: 2.77 μB per formula unit
- Space-group type: Cmmm, No. 65
- VASP energy: -5.210 eV/atom